1.
A plane-wave DFT calculation with PBE-GGA was carried out for an optimized crystal structure of Ni2HCl.

Results
* offset from the most stable computed form: 609.7 meV/atom
* DFT total energy: -13.86 eV/cell

a = 3.934 Å, b = 3.934 Å, c = 3.934 Å
α = 60.00°, β = 60.00°, γ = 60.00°
Sites, in units of the cell vectors:
Ni: 0.250 0.250 0.250
Ni: 0.750 0.750 0.750
H: 0.000 0.000 0.000
Cl: 0.500 0.500 0.500

---

2.
A plane-wave DFT calculation with PBE-GGA was carried out for an optimized crystal structure of Tm2HRh.

Results
* offset from the most stable computed form: 0.0 meV/atom
* DFT total energy: -21.87 eV/cell

a = 6.392 Å, b = 6.392 Å, c = 6.392 Å
α = 34.43°, β = 34.43°, γ = 34.43°
Sites, in units of the cell vectors:
Tm: 0.243 0.243 0.243
Tm: 0.757 0.757 0.757
H: 0.500 0.500 0.500
Rh: 0.000 0.000 0.000

---

3.
A plane-wave DFT calculation with PBE-GGA was carried out for an optimized crystal structure of Al2OsS.

Results
* uncorrected formation energy: 1.10 eV/f.u.
* DFT total energy: -43.49 eV/cell

a = 6.690 Å, b = 6.690 Å, c = 6.690 Å
α = 129.79°, β = 129.79°, γ = 73.75°
Sites, in units of the cell vectors:
Al: 0.123 0.625 0.998
Al: 0.375 0.373 0.498
Al: 0.627 0.125 0.002
Al: 0.875 0.877 0.502
Os: 0.250 0.750 0.500
Os: 0.500 0.500 0.000
S: 0.000 0.000 0.000
S: 0.750 0.250 0.500

---

4.
A plane-wave DFT calculation with PBE-GGA was carried out for an optimized crystal structure of Ba8HgSb3I4.

Results
* uncorrected formation energy: -20.03 eV/f.u.
* DFT total energy: -54.29 eV/cell

a = 10.239 Å, b = 10.239 Å, c = 10.239 Å
α = 59.58°, β = 59.58°, γ = 59.58°
Sites, in units of the cell vectors:
Ba: 0.237 0.740 0.740
Ba: 0.239 0.239 0.239
Ba: 0.260 0.260 0.763
Ba: 0.260 0.763 0.260
Ba: 0.740 0.237 0.740
Ba: 0.740 0.740 0.237
Ba: 0.761 0.761 0.761
Ba: 0.763 0.260 0.260
Hg: 0.500 0.500 0.500
Sb: 0.000 0.000 0.500
Sb: 0.000 0.500 0.000
Sb: 0.500 0.000 0.000
I: 0.000 0.000 0.000
I: 0.000 0.500 0.500
I: 0.500 0.000 0.500
I: 0.500 0.500 0.000

---

5.
A plane-wave DFT calculation with PBE-GGA was carried out for an optimized crystal structure of MnZn2Cl6.

Results
* uncorrected formation energy: -10.03 eV/f.u.
* DFT total energy: -65.64 eV/cell

a = 9.730 Å, b = 9.730 Å, c = 6.352 Å
α = 107.07°, β = 107.07°, γ = 91.90°
Sites, in units of the cell vectors:
Mn: 0.225 0.775 0.750
Mn: 0.775 0.225 0.250
Zn: 0.190 0.345 0.633
Zn: 0.345 0.190 0.133
Zn: 0.655 0.810 0.867
Zn: 0.810 0.655 0.367
Cl: 0.030 0.779 0.424
Cl: 0.208 0.574 0.884
Cl: 0.221 0.366 0.298
Cl: 0.221 0.970 0.076
Cl: 0.366 0.221 0.798
Cl: 0.426 0.792 0.616
Cl: 0.574 0.208 0.384
Cl: 0.634 0.779 0.202
Cl: 0.779 0.030 0.924
Cl: 0.779 0.634 0.702
Cl: 0.792 0.426 0.116
Cl: 0.970 0.221 0.576

---

6.
A plane-wave DFT calculation with PBE-GGA was carried out for an optimized crystal structure of Li2CrW.

Results
* energy of formation from the pure elements: 0.50 eV per atom
* offset from the most stable computed form: 172.8 meV/atom
* DFT total energy: -24.40 eV/cell

a = 5.467 Å, b = 5.467 Å, c = 2.565 Å
α = 99.83°, β = 99.83°, γ = 126.13°
Sites, in units of the cell vectors:
Li: 0.000 0.500 0.000
Li: 0.500 0.000 0.000
Cr: 0.000 0.000 0.500
W: 0.500 0.500 0.500